1.
TeWO2F | PBE+U | relaxed

a = 4.2335 Å, b = 4.2335 Å, c = 4.5041 Å
α = 90.00°, β = 90.00°, γ = 90.00°
Element x y z (fractional)
W: 0.5000 0.5000 0.5000
Te: 0.0000 0.0000 0.0000
O: 0.0000 0.5000 0.0000
O: 0.5000 0.0000 0.0000
F: 0.0000 0.0000 0.5000

Calculated values
Magnetization ... 4.91 μB/cell
V ... 16.14 A^3/atom
Density of states at the Fermi level ... 2.13 states/eV/f.u.
E_tot ... -22.51 eV/cell
Symmetry ... P4/mmm (123)

2.
TeWO2F | PBE+U | relaxed

a = 3.9857 Å, b = 3.9857 Å, c = 4.6338 Å
α = 90.00°, β = 90.00°, γ = 90.00°
Element x y z (fractional)
Te: 0.5000 0.5000 0.5000
O: 0.0000 0.5000 0.0000
O: 0.5000 0.0000 0.0000
F: 0.0000 0.0000 0.5000
W: 0.0000 0.0000 0.0000

Calculated values
Magnetization ... 1.59 μB/cell
V ... 14.72 A^3/atom
Density of states at the Fermi level ... 3.89 states/eV/f.u.
E_tot ... -26.04 eV/cell
Symmetry ... P4/mmm (123)